Hf2ZrTiO | PBE | relaxed

Results
**DOS(E_F)**: 4.1 states/eV per cell
**E_form (uncorrected)**: -1.05 eV/atom
**Spin magnetization**: 0.00 μB per cell

```
Hf2ZrTiO
1.0
4.521 0.000 0.000
0.000 4.521 0.000
0.000 0.000 4.249
Hf Zr Ti O
2 1 1 1
Direct
0.000 0.500 0.000
0.500 0.000 0.000
0.000 0.000 0.500
0.500 0.500 0.500
0.500 0.500 0.000
```